# BaV2P4O14, optimized geometry, DFT GGA+U
# Volume   14.3 A^3/atom
# Crystal system   triclinic
# ΔE to the lowest computed polymorph   0 meV/atom
# Electronic total energy   -7.515 eV per atom
data_BaV2P4O14
_chemical_formula_sum 'Ba1 V2 P4 O14'
_cell_length_a 6.259
_cell_length_b 6.386
_cell_length_c 8.065
_cell_angle_alpha 96.32
_cell_angle_beta 101.22
_cell_angle_gamma 105.86
_space_group_name_H-M_alt 'P -1'
_space_group_IT_number 2
_space_group_name_Hall '-P 1'
loop_
_atom_site_label
_atom_site_type_symbol
_atom_site_fract_x
_atom_site_fract_y
_atom_site_fract_z
Ba1 Ba 0.000 0.000 0.000
V1 V 0.379 0.691 0.231
P1 P 0.187 0.473 0.810
P2 P 0.479 0.244 0.334
O1 O 0.061 0.668 0.261
O2 O 0.221 0.647 0.969
O3 O 0.263 0.608 0.663
O4 O 0.313 0.358 0.241
O5 O 0.332 0.315 0.843
O6 O 0.427 0.019 0.220
O7 O 0.473 0.234 0.519